No. 1
Material: TaZnFeIr
Method: DFT, PBE
State: optimized geometry

a = 4.3041 Å, b = 4.3041 Å, c = 6.0904 Å
α = 90.00°, β = 90.00°, γ = 90.00°
Last column: nearest neighbours and their distance in Å.
Atoms (fractional coordinates):
Ta  0.0000  0.5000  0.2488  4 Fe 2.63-2.64, 4 Ir 2.63-2.64
Ta  0.5000  0.0000  0.7512  4 Fe 2.63-2.64, 4 Ir 2.63-2.64
Zn  0.0000  0.5000  0.7497  4 Fe 2.64, 4 Ir 2.64
Zn  0.5000  0.0000  0.2503  4 Fe 2.64, 4 Ir 2.64
Fe  0.0000  0.0000  0.0000  4 Ta 2.63, 4 Zn 2.64
Fe  0.5000  0.5000  0.5000  4 Zn 2.64, 4 Ta 2.64
Ir  0.0000  0.0000  0.5000  4 Zn 2.64, 4 Ta 2.64
Ir  0.5000  0.5000  0.0000  4 Ta 2.63, 4 Zn 2.64

total magnetization: 0.0 μB/f.u.
formation enthalpy at 0 K: -350 meV/atom

No. 2
Material: FeTcIr6
Method: DFT, PBE
State: optimized geometry

a = 3.8451 Å, b = 3.8451 Å, c = 7.6979 Å
α = 90.00°, β = 90.00°, γ = 90.00°
Last column: nearest neighbours and their distance in Å.
Atoms (fractional coordinates):
Fe  0.0000  0.0000  0.0000  12 Ir 2.72
Tc  0.0000  0.0000  0.5000  12 Ir 2.72
Ir  0.0000  0.5000  0.2505  8 Ir 2.72, 2 Tc 2.72, 2 Fe 2.72
Ir  0.0000  0.5000  0.7495  8 Ir 2.72, 2 Tc 2.72, 2 Fe 2.72
Ir  0.5000  0.0000  0.2505  8 Ir 2.72, 2 Tc 2.72, 2 Fe 2.72
Ir  0.5000  0.0000  0.7495  8 Ir 2.72, 2 Tc 2.72, 2 Fe 2.72
Ir  0.5000  0.5000  0.0000  4 Fe 2.72, 8 Ir 2.72
Ir  0.5000  0.5000  0.5000  8 Ir 2.72, 4 Tc 2.72

total magnetization: 3.3 μB/f.u.
formation enthalpy at 0 K: -116 meV/atom

No. 3
Material: ZnFeTcIr
Method: DFT, PBE
State: optimized geometry

a = 6.0506 Å, b = 6.0506 Å, c = 6.0506 Å
α = 90.00°, β = 90.00°, γ = 90.00°
Last column: nearest neighbours and their distance in Å.
Atoms (fractional coordinates):
Zn  0.0000  0.0000  0.0000  4 Ir 2.62, 4 Fe 2.62
Zn  0.0000  0.5000  0.5000  4 Ir 2.62, 4 Fe 2.62
Zn  0.5000  0.0000  0.5000  4 Ir 2.62, 4 Fe 2.62
Zn  0.5000  0.5000  0.0000  4 Ir 2.62, 4 Fe 2.62
Fe  0.2500  0.2500  0.2500  4 Tc 2.62, 4 Zn 2.62
Fe  0.2500  0.7500  0.7500  4 Tc 2.62, 4 Zn 2.62
Fe  0.7500  0.2500  0.7500  4 Tc 2.62, 4 Zn 2.62
Fe  0.7500  0.7500  0.2500  4 Tc 2.62, 4 Zn 2.62
Tc  0.0000  0.0000  0.5000  4 Fe 2.62, 4 Ir 2.62
Tc  0.0000  0.5000  0.0000  4 Fe 2.62, 4 Ir 2.62
Tc  0.5000  0.0000  0.0000  4 Fe 2.62, 4 Ir 2.62
Tc  0.5000  0.5000  0.5000  4 Fe 2.62, 4 Ir 2.62
Ir  0.2500  0.2500  0.7500  4 Tc 2.62, 4 Zn 2.62
Ir  0.2500  0.7500  0.2500  4 Tc 2.62, 4 Zn 2.62
Ir  0.7500  0.2500  0.2500  4 Tc 2.62, 4 Zn 2.62
Ir  0.7500  0.7500  0.7500  4 Zn 2.62, 4 Tc 2.62

total magnetization: 2.8 μB/f.u.
formation enthalpy at 0 K: 105 meV/atom

No. 4
Material: ThFeIr
Method: DFT, PBE
State: optimized geometry

a = 6.2406 Å, b = 6.2406 Å, c = 6.2406 Å
α = 90.00°, β = 90.00°, γ = 90.00°
Last column: nearest neighbours and their distance in Å.
Atoms (fractional coordinates):
Th  0.0000  0.0000  0.0000  4 Fe 2.70
Th  0.0000  0.5000  0.5000  4 Fe 2.70
Th  0.5000  0.0000  0.5000  4 Fe 2.70
Th  0.5000  0.5000  0.0000  4 Fe 2.70
Fe  0.2500  0.2500  0.2500  4 Ir 2.70, 4 Th 2.70
Fe  0.2500  0.7500  0.7500  4 Th 2.70, 4 Ir 2.70
Fe  0.7500  0.2500  0.7500  4 Th 2.70, 4 Ir 2.70
Fe  0.7500  0.7500  0.2500  4 Th 2.70, 4 Ir 2.70
Ir  0.0000  0.0000  0.5000  4 Fe 2.70
Ir  0.0000  0.5000  0.0000  4 Fe 2.70
Ir  0.5000  0.0000  0.0000  4 Fe 2.70
Ir  0.5000  0.5000  0.5000  4 Fe 2.70

total magnetization: 2.2 μB/f.u.
formation enthalpy at 0 K: -119 meV/atom

No. 5
Material: YTlFeIr
Method: DFT, PBE
State: optimized geometry

a = 6.7139 Å, b = 6.7139 Å, c = 6.7139 Å
α = 90.00°, β = 90.00°, γ = 90.00°
Last column: nearest neighbours and their distance in Å.
Atoms (fractional coordinates):
Y  0.0000  0.0000  0.0000  4 Fe 2.91, 4 Ir 2.91
Y  0.0000  0.5000  0.5000  4 Fe 2.91, 4 Ir 2.91
Y  0.5000  0.0000  0.5000  4 Fe 2.91, 4 Ir 2.91
Y  0.5000  0.5000  0.0000  4 Fe 2.91, 4 Ir 2.91
Tl  0.0000  0.0000  0.5000  4 Fe 2.91, 4 Ir 2.91
Tl  0.0000  0.5000  0.0000  4 Fe 2.91, 4 Ir 2.91
Tl  0.5000  0.0000  0.0000  4 Fe 2.91, 4 Ir 2.91
Tl  0.5000  0.5000  0.5000  4 Fe 2.91, 4 Ir 2.91
Fe  0.2500  0.2500  0.7500  4 Tl 2.91, 4 Y 2.91
Fe  0.2500  0.7500  0.2500  4 Tl 2.91, 4 Y 2.91
Fe  0.7500  0.2500  0.2500  4 Tl 2.91, 4 Y 2.91
Fe  0.7500  0.7500  0.7500  4 Y 2.91, 4 Tl 2.91
Ir  0.2500  0.2500  0.2500  4 Tl 2.91, 4 Y 2.91
Ir  0.2500  0.7500  0.7500  4 Tl 2.91, 4 Y 2.91
Ir  0.7500  0.2500  0.7500  4 Tl 2.91, 4 Y 2.91
Ir  0.7500  0.7500  0.2500  4 Tl 2.91, 4 Y 2.91

total magnetization: 2.3 μB/f.u.
energy: -102.996 eV for the cell shown

No. 6
Material: YTlFeIr
Method: DFT, PBE
State: optimized geometry

a = 6.7878 Å, b = 6.7878 Å, c = 6.7878 Å
α = 90.00°, β = 90.00°, γ = 90.00°
Last column: nearest neighbours and their distance in Å.
Atoms (fractional coordinates):
Y  0.0000  0.0000  0.0000  4 Tl 2.94, 4 Ir 2.94
Y  0.0000  0.5000  0.5000  4 Tl 2.94, 4 Ir 2.94
Y  0.5000  0.0000  0.5000  4 Tl 2.94, 4 Ir 2.94
Y  0.5000  0.5000  0.0000  4 Tl 2.94, 4 Ir 2.94
Tl  0.2500  0.2500  0.2500  4 Fe 2.94, 4 Y 2.94
Tl  0.2500  0.7500  0.7500  4 Fe 2.94, 4 Y 2.94
Tl  0.7500  0.2500  0.7500  4 Fe 2.94, 4 Y 2.94
Tl  0.7500  0.7500  0.2500  4 Fe 2.94, 4 Y 2.94
Fe  0.0000  0.0000  0.5000  4 Tl 2.94, 4 Ir 2.94
Fe  0.0000  0.5000  0.0000  4 Tl 2.94, 4 Ir 2.94
Fe  0.5000  0.0000  0.0000  4 Tl 2.94, 4 Ir 2.94
Fe  0.5000  0.5000  0.5000  4 Tl 2.94, 4 Ir 2.94
Ir  0.2500  0.2500  0.7500  4 Fe 2.94, 4 Y 2.94
Ir  0.2500  0.7500  0.2500  4 Fe 2.94, 4 Y 2.94
Ir  0.7500  0.2500  0.2500  4 Fe 2.94, 4 Y 2.94
Ir  0.7500  0.7500  0.7500  4 Fe 2.94, 4 Y 2.94

total magnetization: 3.5 μB/f.u.
energy: -101.941 eV for the cell shown

no.,theoretical density (g/cm3)
1,14.55
2,19.07
3,12.34
4,13.12
5,11.88
6,11.50